VASP calculation (PBE) on a relaxed structure of ScGa2Ir2.

Results
The formation energy comes out at -0.568 eV per atom. Its total magnetization is 0.0 μB per cell. The calculation puts the energy above the most stable polymorph in this dataset at 0.0526 eV/atom.

a b c (Å): 6.769 6.769 6.769
angles (deg): 148.35 148.35 45.37
Sites, in units of the cell vectors:
Sc: 0.000 0.000 0.000
Ga: 0.250 0.750 0.500
Ga: 0.750 0.250 0.500
Ir: 0.394 0.394 0.000
Ir: 0.606 0.606 0.000